[1]
Here is a relaxed LaNdPu crystal from Alexandria. Energies are from PBE.

Computed properties:
E above lowest polymorph, eV per atom: 0.000
Magnetization, μB/cell: 12.32
ΔH_f (0 K), eV per atom: 0.13

Cell lengths 3.6127, 3.6127, 15.3264 Å; angles 90.00, 90.00, 90.00 degrees
Last column: nearest neighbours and their distance in Å.
Space group I4mm (No. 107)
Symmetry-distinct sites (fractional):
La1 0.0000 0.0000 0.0000 x2  4 Pu 3.57, 4 La 3.61, 4 Nd 3.72
Nd1 0.0000 0.0000 0.3235 x2  4 Pu 3.55, 4 Nd 3.61, 4 La 3.72
Pu1 0.0000 0.0000 0.6627 x2  4 Nd 3.55, 4 La 3.57, 4 Pu 3.61


[2]
Here is a relaxed LiNiIr2 crystal from Alexandria. Energies are from PBE.

Computed properties:
E above lowest polymorph, eV per atom: 0.065
Magnetization, μB/cell: 0.00
ΔH_f (0 K), eV per atom: -0.01

Cell lengths 2.9317, 4.1329, 8.2196 Å; angles 90.00, 90.00, 90.00 degrees
Last column: nearest neighbours and their distance in Å.
Space group Imm2 (No. 44)
Symmetry-distinct sites (fractional):
Li1 0.0000 0.0000 0.0000 x2  2 Ni 2.37, 6 Ir 2.54
Ni1 0.0000 0.5000 0.2740 x2  2 Li 2.37, 6 Ir 2.54-2.57
Ir1 0.0000 0.0000 0.5169 x2  4 Li 2.54, 2 Ni 2.57, 4 Ir 2.62-2.83
Ir2 0.0000 0.5000 0.7523 x2  4 Ni 2.54, 2 Li 2.54, 4 Ir 2.62-2.83


[3]
Here is a relaxed CaRe2Br crystal from Alexandria. Energies are from PBE.

Computed properties:
E above lowest polymorph, eV per atom: 0.571
Magnetization, μB/cell: 0.00
Formation energy (no corrections), eV per atom: 0.625

Cell lengths 3.5522, 5.5669, 9.2355 Å; angles 90.00, 90.00, 90.00 degrees
Last column: nearest neighbours and their distance in Å.
Space group Imm2 (No. 44)
Symmetry-distinct sites (fractional):
Ca1 0.0000 0.0000 0.0000 x2  2 Br 3.03, 6 Re 3.17-3.30
Re1 0.0000 0.0000 0.5044 x2  2 Re 2.36
Re2 0.0000 0.5000 0.8364 x2  2 Re 2.36
Br1 0.0000 0.5000 0.2340 x2  2 Re 2.77, 2 Ca 3.03


[4]
Here is a relaxed BeCdPt3 crystal from Alexandria. Energies are from PBE.

Computed properties:
E above lowest polymorph, eV per atom: 0.049
Magnetization, μB/cell: 0.00
ΔH_f (0 K), eV per atom: -0.39

Cell lengths 2.8740, 5.0270, 5.6370 Å; angles 86.01, 75.31, 73.43 degrees
Last column: nearest neighbours and their distance in Å.
Space group P1 (No. 1)
Symmetry-distinct sites (fractional):
Be1 0.0000 0.0000 0.0000 x1  6 Pt 2.31-2.34
Cd1 0.4028 0.7185 0.4756 x1  9 Pt 2.85-2.97, 2 Cd 2.87, 1 Be 3.16
Pt1 0.2515 0.2512 0.2481 x1  2 Be 2.31
Pt2 0.5614 0.1761 0.7001 x1  2 Be 2.34
Pt3 0.7124 0.6274 0.9446 x1  2 Be 2.32


Result set for theoretical density: 8.75 15.01 8.95 15.54 g/cm3, one per record in the order listed.